ZnSn5 | PBE | relaxed

Final energy in eV for the cell shown: -20.7
DOS at the Fermi energy in states/eV per cell: 2.0
Excess energy over the best structure of this formula in the dataset in meV per atom: 0
E_form in meV per atom: 94

The structure in POSCAR format:
```
ZnSn5
1.0
2.286 -7.322 0.000
2.286 7.322 0.000
0.000 0.000 4.663
Zn Sn
1 5
direct
0.000 0.000 0.000
0.160 0.840 0.500
0.339 0.661 0.000
0.500 0.500 0.500
0.661 0.339 0.000
0.840 0.160 0.500
```

=====

Zn6Sn | PBE | relaxed

Final energy in eV for the cell shown: -44.7
DOS at the Fermi energy in states/eV per cell: 8.6
Excess energy over the best structure of this formula in the dataset in meV per atom: 0
E_form in meV per atom: 68

The structure in POSCAR format:
```
Zn6Sn
1.0
8.475 0.000 0.000
0.000 5.271 0.000
0.000 0.000 10.837
Zn Sn
24 4
direct
0.062 0.007 0.194
0.062 0.493 0.194
0.064 0.750 0.415
0.099 0.250 0.983
0.146 0.750 0.649
0.187 0.250 0.740
0.313 0.750 0.240
0.354 0.250 0.149
0.401 0.750 0.483
0.436 0.250 0.915
0.438 0.507 0.694
0.438 0.993 0.694
0.562 0.007 0.306
0.562 0.493 0.306
0.564 0.750 0.085
0.599 0.250 0.517
0.646 0.750 0.851
0.687 0.250 0.760
0.813 0.750 0.260
0.854 0.250 0.351
0.901 0.750 0.017
0.936 0.250 0.585
0.938 0.507 0.806
0.938 0.993 0.806
0.234 0.250 0.440
0.266 0.750 0.940
0.734 0.250 0.060
0.766 0.750 0.560
```

=====

ZnSn | PBE | relaxed

Final energy in eV for the cell shown: -18.8
DOS at the Fermi energy in states/eV per cell: 5.0
E_form in meV per atom: 292

The structure in POSCAR format:
```
ZnSn
1.0
7.230 0.000 0.000
0.000 7.230 0.000
0.000 0.000 4.639
Zn Sn
4 4
direct
0.234 0.234 0.000
0.266 0.734 0.500
0.734 0.266 0.500
0.766 0.766 0.000
0.143 0.857 0.000
0.357 0.357 0.500
0.643 0.643 0.500
0.857 0.143 0.000
```

=====

ZnSn | PBE | relaxed

Final energy in eV for the cell shown: -17.8
DOS at the Fermi energy in states/eV per cell: 5.5
E_form in meV per atom: 413

The structure in POSCAR format:
```
ZnSn
1.0
-4.265 4.265 4.265
4.265 -4.265 4.265
4.265 4.265 -4.265
Zn Sn
4 4
direct
0.000 0.000 0.644
0.000 0.644 0.000
0.356 0.356 0.356
0.644 0.000 0.000
0.000 0.000 0.285
0.000 0.285 0.000
0.285 0.000 0.000
0.715 0.715 0.715
```